[1]
Compound: SmScAs
Source: OQMD
Functional: PBE
Structure: optimized geometry

Cell: 4.727 4.727 4.727 Å, 60.00 60.00 60.00°
Atoms (fractional coordinates):
Sm 0.000 0.000 0.000
Sc 0.500 0.500 0.500
As 0.750 0.750 0.750

Summary:
Space-group type = F-43m, No. 216
Density = 6.01 g/cm3
E = -5.993 eV per atom
Magnetization = 0.02 Bohr magnetons per cell

---

[2]
Compound: SmScAs
Source: OQMD
Functional: PBE
Structure: optimized geometry

Cell: 4.896 4.896 4.896 Å, 60.00 60.00 60.00°
Atoms (fractional coordinates):
Sm 0.000 0.000 0.000
Sc 0.250 0.250 0.250
As 0.750 0.750 0.750

Summary:
Space-group type = F-43m, No. 216
Density = 5.41 g/cm3
E = -5.046 eV per atom
Magnetization = 2.04 Bohr magnetons per cell

---

[3]
Compound: ScTa2As2
Source: OQMD
Functional: PBE
Structure: optimized geometry

Cell: 6.771 6.771 6.771 Å, 146.10 146.10 48.70°
Atoms (fractional coordinates):
Sc 0.000 0.000 0.000
Ta 0.250 0.750 0.500
Ta 0.750 0.250 0.500
As 0.392 0.392 0.000
As 0.608 0.608 0.000

Summary:
Space-group type = I4/mmm, No. 139
Density = 9.61 g/cm3
E = -8.256 eV per atom
Magnetization = 0.00 Bohr magnetons per cell

---

[4]
Compound: TbSc2As3
Source: OQMD
Functional: PBE
Structure: optimized geometry

Cell: 3.958 3.958 9.669 Å, 90.00 90.00 120.00°
Atoms (fractional coordinates):
Tb 0.000 0.000 0.000
Sc 0.333 0.667 0.340
Sc 0.667 0.333 0.660
As 0.000 0.000 0.500
As 0.333 0.667 0.819
As 0.667 0.333 0.181

Summary:
Space-group type = P-3m1, No. 164
Density = 5.99 g/cm3
E = -6.624 eV per atom
Magnetization = 0.00 Bohr magnetons per cell

---

[5]
Compound: Tb2ScAs3
Source: OQMD
Functional: PBE
Structure: optimized geometry

Cell: 4.050 4.050 9.887 Å, 90.00 90.00 120.00°
Atoms (fractional coordinates):
Tb 0.333 0.667 0.327
Tb 0.667 0.333 0.673
Sc 0.000 0.000 0.000
As 0.000 0.000 0.500
As 0.333 0.667 0.847
As 0.667 0.333 0.153

Summary:
Space-group type = P-3m1, No. 164
Density = 6.95 g/cm3
E = -6.396 eV per atom
Magnetization = 0.00 Bohr magnetons per cell

---

[6]
Compound: ScTc2As
Source: OQMD
Functional: PBE
Structure: optimized geometry

Cell: 4.473 4.473 4.473 Å, 60.00 60.00 60.00°
Atoms (fractional coordinates):
Sc 0.000 0.000 0.000
Tc 0.250 0.250 0.250
Tc 0.500 0.500 0.500
As 0.750 0.750 0.750

Summary:
Space-group type = F-43m, No. 216
Density = 8.29 g/cm3
E = -7.968 eV per atom
Magnetization = 0.81 Bohr magnetons per cell

---

The lowest E belongs to which entry? ScTa2As2

---

What is the E in the fifth record? -6.396 eV per atom